No. 1
Here is Li2Ac2Ge3 after structural relaxation from the Alexandria database. Energies are from PBE. Values from VASP.

Quantum ESPRESSO input file:
```
&SYSTEM
  ibrav = 0, nat = 14, ntyp = 3
/
ATOMIC_SPECIES
Ge 72.64 Ge.upf
Li 6.94 Li.upf
Ac 227.00 Ac.upf
ATOMIC_POSITIONS angstrom
Ge -1.9893 -1.5280 -0.9549
Li -5.5165 -1.6627 1.5956
Ge -9.0116 2.5120 1.8962
Li -5.4451 2.6847 -0.7419
Ac -3.3978 0.8030 0.9481
Ge -6.1998 0.0096 -0.6575
Ge -9.9983 1.5601 4.0884
Ac -9.0448 1.5506 -1.2688
Ac -2.9428 -1.5184 4.4023
Ge -5.7878 0.0226 3.7910
Ac -8.5897 -0.7709 2.1854
Ge -2.9759 -2.4798 1.2373
Li -6.4711 1.6948 1.5378
Li -6.5425 -2.6526 3.8753
CELL_PARAMETERS angstrom
-1.5471 -3.7843 -2.3395
-2.7548 -2.6578 6.1208
-7.6856 6.4742 -0.6479
```

Results
As for the magnetization: 0.000 μB/f.u. The calculated total energy comes out at -61.06 eV per cell. As for the density of states at the Fermi level: 1.2 states/eV/f.u. Its space-group type is Cmcm.

=====

No. 2
Here is LiAcH6Pd2 after structural relaxation from the Alexandria database. Energies are from PBE. Values from VASP.

Quantum ESPRESSO input file:
```
&SYSTEM
  ibrav = 0, nat = 10, ntyp = 4
/
ATOMIC_SPECIES
H 1.01 H.upf
Li 6.94 Li.upf
Pd 106.42 Pd.upf
Ac 227.00 Ac.upf
ATOMIC_POSITIONS angstrom
H 4.7172 1.4505 4.1757
Li 4.7171 2.7234 2.6963
Pd 2.3586 1.3617 2.0600
H 5.8196 2.0870 1.2169
H 4.7170 3.9964 1.2169
H 3.6146 3.3598 4.1757
Pd 7.0757 4.0852 3.3326
Ac 0.0000 0.0000 0.0000
H 3.6148 2.0868 1.2169
H 5.8195 3.3600 4.1757
CELL_PARAMETERS angstrom
4.7171 0.0000 0.0000
2.3586 4.0852 0.0000
2.3586 1.3617 5.3926
```

Results
As for the magnetization: 0.000 μB/f.u. The calculated total energy comes out at -39.76 eV per cell. As for the density of states at the Fermi level: 1.5 states/eV/f.u. Its space-group type is R-3m.

=====

No. 3
Here is UMn4B4 after structural relaxation from the Alexandria database. Energies are from PBE. Values from VASP.

Quantum ESPRESSO input file:
```
&SYSTEM
  ibrav = 0, nat = 18, ntyp = 3
/
ATOMIC_SPECIES
B 10.81 B.upf
U 238.03 U.upf
Mn 54.94 Mn.upf
ATOMIC_POSITIONS angstrom
B -3.1726 0.3866 2.6814
B -2.2027 -0.7353 1.7918
U 0.0000 0.0000 0.0000
Mn -2.7781 0.9867 0.6736
Mn -4.4905 -0.8612 3.6972
Mn -3.7850 -1.6918 -1.9930
B -4.5595 -3.2570 -0.8635
U -4.8754 -0.8455 0.6977
Mn -4.3517 1.1176 -1.2070
B -5.0594 -2.7603 2.9120
Mn -6.8745 -1.9466 2.2937
B -2.6727 -0.1101 -1.0941
Mn -5.4973 -3.5396 1.0305
B -4.5571 2.0697 0.6343
Mn -2.0973 -1.8322 0.0241
B -7.2125 -2.5812 0.3387
Mn -3.0134 -2.5698 2.3424
B -3.4513 -3.3491 0.4610
CELL_PARAMETERS angstrom
-2.8543 3.3017 2.6180
-3.2612 0.2713 -3.8978
-3.6353 -5.2639 2.6752
```

Results
As for the magnetization: 2.265 μB/f.u. The calculated total energy comes out at -157.11 eV per cell. As for the density of states at the Fermi level: 5.9 states/eV/f.u. Its space-group type is P4_2/nmc.

=====

Among the records above, which one has the highest calculated total energy? LiAcH6Pd2